1.
LiPCl2 | GGA-PBE | optimized geometry

Cell and atoms, written as extended XYZ:
```
4
Lattice="4.255 0.000 0.000 0.000 4.629 0.000 -0.427 0.000 5.837" Properties=species:S:1:pos:R:3 pbc="T T T"
Li 0.000 0.000 0.000
P 3.302 2.315 3.150
Cl 0.181 2.315 1.396
Cl 1.701 0.000 5.028
```

Properties
M_tot   2.00 Bohr magnetons per cell
Space-group type   Pm
Uncorrected formation energy   -1.9 eV per formula unit
VASP energy   -3.221 eV/atom

***

2.
Tl14Te9Pb2 | GGA-PBE | optimized geometry

Cell and atoms, written as extended XYZ:
```
25
Lattice="10.421 0.000 0.000 -5.210 9.025 0.000 0.000 0.000 9.909" Properties=species:S:1:pos:R:3 pbc="T T T"
Tl 0.000 0.000 1.753
Tl 0.000 0.000 8.155
Tl -3.314 6.107 4.784
Tl -1.375 3.661 1.576
Tl 1.578 3.101 4.784
Tl -1.352 8.384 1.576
Tl 3.475 0.184 5.125
Tl 2.484 3.021 8.333
Tl 2.727 6.003 1.576
Tl 1.736 8.841 4.784
Tl 6.562 0.640 8.333
Tl 3.632 5.924 5.125
Tl 6.585 5.363 8.333
Tl 8.524 2.917 5.125
Te 0.000 0.000 4.954
Te -1.116 3.252 8.190
Te -1.836 8.365 8.190
Te 0.000 6.016 3.983
Te 2.258 2.592 1.719
Te 2.952 6.432 8.190
Te 5.210 3.008 5.925
Te 7.046 0.660 1.719
Te 6.326 5.772 1.719
Pb 0.000 6.016 7.181
Pb 5.210 3.008 2.728
```

Properties
M_tot   0.00 Bohr magnetons per cell
Space-group type   P-3
Uncorrected formation energy   -6.6 eV per formula unit
VASP energy   -3.018 eV/atom

***

3.
LaSc2Cr | GGA-PBE | optimized geometry

Cell and atoms, written as extended XYZ:
```
8
Lattice="0.000 4.969 4.969 4.969 0.000 4.969 4.969 4.969 0.000" Properties=species:S:1:pos:R:3 pbc="T T T"
La 1.242 1.242 1.242
La 8.695 8.695 8.695
Sc 4.969 2.484 2.484
Sc 2.484 4.969 2.484
Sc 2.484 2.484 4.969
Sc 4.969 4.969 4.969
Cr 3.727 3.727 3.727
Cr 6.211 6.211 6.211
```

Properties
M_tot   0.04 Bohr magnetons per cell
Space-group type   Fd-3m
VASP energy   -5.861 eV/atom
Energy of formation from the pure elements   943 meV/atom

***

4.
TePb6 | GGA-PBE | optimized geometry

Cell and atoms, written as extended XYZ:
```
7
Lattice="-4.266 4.266 4.266 4.266 -4.266 4.266 4.266 4.266 -4.266" Properties=species:S:1:pos:R:3 pbc="T T T"
Te 0.000 0.000 0.000
Pb 4.266 2.133 0.000
Pb 4.266 0.000 2.133
Pb 2.133 4.266 0.000
Pb 2.133 0.000 4.266
Pb 0.000 4.266 2.133
Pb 0.000 2.133 4.266
```

Properties
M_tot   1.37 Bohr magnetons per cell
Space-group type   Im-3m
Uncorrected formation energy   3.6 eV per formula unit
VASP energy   -3.115 eV/atom

***

5.
LaAl3Rh | GGA-PBE | optimized geometry

Cell and atoms, written as extended XYZ:
```
5
Lattice="4.741 0.000 0.000 0.000 4.741 0.000 0.000 0.000 4.741" Properties=species:S:1:pos:R:3 pbc="T T T"
La 0.000 0.000 0.000
Al 0.000 2.370 2.370
Al 2.370 0.000 2.370
Al 2.370 2.370 0.000
Rh 2.370 2.370 2.370
```

Properties
M_tot   0.00 Bohr magnetons per cell
Space-group type   Pm-3m
VASP energy   -5.255 eV/atom
Energy of formation from the pure elements   -554 meV/atom

***

6.
RbBi6Pb12 | GGA-PBE | optimized geometry

Cell and atoms, written as extended XYZ:
```
19
Lattice="7.363 4.251 3.729 -7.363 4.251 3.729 0.000 -8.502 3.729" Properties=species:S:1:pos:R:3 pbc="T T T"
Rb 0.000 0.000 0.000
Bi -3.246 -1.874 6.412
Bi 0.000 -3.748 4.774
Bi -3.246 1.874 4.774
Bi 3.246 -1.874 6.412
Bi 0.000 3.748 6.412
Bi 3.246 1.874 4.774
Pb -2.860 -4.955 5.593
Pb -5.721 0.000 5.593
Pb -1.799 -1.038 3.582
Pb 1.799 -1.038 3.582
Pb 0.000 2.077 3.582
Pb 2.860 -4.954 5.593
Pb -2.860 4.954 5.593
Pb 0.000 -2.077 7.604
Pb -1.799 1.038 7.604
Pb 1.799 1.038 7.604
Pb 5.721 0.000 5.593
Pb 2.860 4.955 5.593
```

Properties
M_tot   0.00 Bohr magnetons per cell
Space-group type   R-3m
VASP energy   -3.578 eV/atom
Energy of formation from the pure elements   40 meV/atom

***

7.
CaTcRu2 | GGA-PBE | optimized geometry

Cell and atoms, written as extended XYZ:
```
4
Lattice="2.958 0.000 0.000 0.000 2.958 0.000 0.000 0.000 7.720" Properties=species:S:1:pos:R:3 pbc="T T T"
Ca 0.000 0.000 0.000
Tc 0.000 0.000 3.860
Ru 1.479 1.479 2.244
Ru 1.479 1.479 5.476
```

Properties
M_tot   0.00 Bohr magnetons per cell
Space-group type   P4/mmm
VASP energy   -7.442 eV/atom
Energy of formation from the pure elements   287 meV/atom